Record 1
This record from the Alexandria database describes a geometry-optimized Ti2Fe2Pd structure. The functional is PBE-GGA.

Output
As for the total energy: -7.8086 eV/atom. Its crystal system is tetragonal. The space group is P4/mbm (127).

a = 6.697 Å, b = 6.697 Å, c = 3.057 Å
α = 90.00°, β = 90.00°, γ = 90.00°
Element x y z (fractional)
Fe 0.382 0.882 0.000
Fe 0.882 0.618 0.000
Fe 0.618 0.118 0.000
Fe 0.118 0.382 0.000
Pd 0.000 0.000 0.000
Pd 0.500 0.500 0.000
Ti 0.187 0.687 0.500
Ti 0.687 0.813 0.500
Ti 0.813 0.313 0.500
Ti 0.313 0.187 0.500



Record 2
This record from the Alexandria database describes a geometry-optimized TiFe2Pd6 structure. The functional is PBE-GGA.

Output
As for the total energy: -6.4720 eV/atom. Its crystal system is monoclinic. The space group is C2/m (12).

a = 4.466 Å, b = 5.025 Å, c = 7.044 Å
α = 81.91°, β = 71.52°, γ = 63.61°
Last column: magnetic moment on the atom in μB.
Element x y z (fractional)
Ti 0.000 0.500 0.500  -0.29
Fe 0.331 0.501 0.836  3.17
Fe 0.669 0.499 0.164  3.17
Pd 0.679 0.809 0.833  0.16
Pd 0.321 0.191 0.167  0.16
Pd 0.010 0.811 0.169  0.16
Pd 0.346 0.810 0.498  0.10
Pd 0.990 0.189 0.831  0.16
Pd 0.654 0.190 0.502  0.10



Record 3
This record from the Alexandria database describes a geometry-optimized Ti3Fe2Pd structure. The functional is PBE-GGA.

Output
As for the total energy: -8.0734 eV/atom. Its crystal system is tetragonal. The space group is P4/mmm (123).

a = 2.901 Å, b = 2.901 Å, c = 9.897 Å
α = 90.00°, β = 90.00°, γ = 90.00°
Element x y z (fractional)
Ti 0.000 0.000 0.000
Ti 0.000 0.000 0.695
Ti 0.000 0.000 0.305
Fe 0.500 0.500 0.847
Fe 0.500 0.500 0.153
Pd 0.500 0.500 0.500



Record 4
This record from the Alexandria database describes a geometry-optimized Ti4FePd structure. The functional is PBE-GGA.

Output
As for the total energy: -7.5570 eV/atom. Its crystal system is monoclinic. The space group is C2/m (12).

a = 4.303 Å, b = 4.311 Å, c = 7.008 Å
α = 72.00°, β = 72.12°, γ = 60.07°
Element x y z (fractional)
Ti 0.634 0.635 0.097
Ti 0.366 0.365 0.903
Ti 0.116 0.115 0.654
Ti 0.884 0.885 0.346
Fe 0.000 0.000 0.000
Pd 0.500 0.500 0.500



Record 5
This record from the Alexandria database describes a geometry-optimized TiFe2Pd8 structure. The functional is PBE-GGA.

Output
As for the total energy: -6.3035 eV/atom. Its crystal system is monoclinic. The space group is C2/m (12).

a = 3.958 Å, b = 6.182 Å, c = 7.234 Å
α = 105.86°, β = 105.88°, γ = 90.00°
Last column: magnetic moment on the atom in μB.
Element x y z (fractional)
Ti 0.500 0.000 0.000  -0.32
Fe 0.224 0.644 0.448  3.15
Fe 0.776 0.356 0.552  3.15
Pd 0.599 0.455 0.199  0.18
Pd 0.319 0.083 0.639  0.18
Pd 0.141 0.193 0.283  0.15
Pd 0.044 0.732 0.088  0.10
Pd 0.859 0.807 0.717  0.15
Pd 0.681 0.917 0.361  0.18
Pd 0.401 0.545 0.801  0.18
Pd 0.956 0.268 0.912  0.10



Record 6
This record from the Alexandria database describes a geometry-optimized Ti2FePd6 structure. The functional is PBE-GGA.

Output
As for the total energy: -6.3749 eV/atom. Its crystal system is monoclinic. The space group is C2/m (12).

a = 2.745 Å, b = 7.617 Å, c = 7.023 Å
α = 98.99°, β = 90.00°, γ = 100.38°
Last column: magnetic moment on the atom in μB.
Element x y z (fractional)
Ti 0.780 0.559 0.808  0.06
Ti 0.220 0.441 0.192  0.06
Fe 0.000 0.000 0.500  -3.13
Pd 0.946 0.893 0.828  -0.08
Pd 0.867 0.735 0.165  -0.01
Pd 0.133 0.265 0.835  -0.01
Pd 0.660 0.321 0.488  -0.07
Pd 0.340 0.679 0.512  -0.07
Pd 0.054 0.107 0.172  -0.08



Record 7
This record from the Alexandria database describes a geometry-optimized Ti2FePd8 structure. The functional is PBE-GGA.

Output
As for the total energy: -6.3907 eV/atom. Its crystal system is monoclinic. The space group is C2/m (12).

a = 3.978 Å, b = 6.298 Å, c = 7.265 Å
α = 106.80°, β = 105.89°, γ = 90.00°
Last column: magnetic moment on the atom in μB.
Element x y z (fractional)
Ti 0.782 0.339 0.565  -0.11
Ti 0.218 0.661 0.435  -0.11
Fe 0.500 0.000 0.000  3.21
Pd 0.400 0.546 0.799  0.02
Pd 0.677 0.915 0.354  0.06
Pd 0.853 0.798 0.705  0.04
Pd 0.959 0.265 0.918  0.10
Pd 0.147 0.202 0.295  0.04
Pd 0.323 0.085 0.646  0.06
Pd 0.600 0.454 0.201  0.02
Pd 0.041 0.735 0.082  0.10



Record 8
This record from the Alexandria database describes a geometry-optimized Ti6FePd12 structure. The functional is PBE-GGA.

Output
As for the total energy: -6.6626 eV/atom. Its crystal system is trigonal. The space group is R-3 (148).

a = 6.667 Å, b = 6.667 Å, c = 6.667 Å
α = 89.41°, β = 89.41°, γ = 89.41°
Last column: magnetic moment on the atom in μB.
Element x y z (fractional)
Ti 0.715 0.880 0.255  -0.20
Ti 0.745 0.285 0.120  -0.20
Ti 0.120 0.745 0.285  -0.20
Ti 0.285 0.120 0.745  -0.20
Ti 0.255 0.715 0.880  -0.20
Ti 0.880 0.255 0.715  -0.20
Fe 0.000 0.000 0.000  1.48
Pd 0.798 0.537 0.437  0.00
Pd 0.437 0.798 0.537  0.00
Pd 0.537 0.437 0.798  0.00
Pd 0.202 0.463 0.563  0.00
Pd 0.563 0.202 0.463  0.00
Pd 0.463 0.563 0.202  0.00
Pd 0.025 0.148 0.362  0.02
Pd 0.852 0.638 0.975  0.02
Pd 0.638 0.975 0.852  0.02
Pd 0.975 0.852 0.638  0.02
Pd 0.148 0.362 0.025  0.02
Pd 0.362 0.025 0.148  0.02



Record 9
This record from the Alexandria database describes a geometry-optimized TiFePd structure. The functional is PBE-GGA.

Output
As for the total energy: -7.2718 eV/atom. Its crystal system is hexagonal. The space group is P-62m (189).

a = 4.236 Å, b = 5.967 Å, c = 5.967 Å
α = 120.00°, β = 90.00°, γ = 90.00°
Last column: magnetic moment on the atom in μB.
Element x y z (fractional)
Ti 0.500 0.667 0.333  -0.52
Ti 0.500 0.333 0.667  -0.52
Ti 0.000 0.000 0.000  -0.30
Pd 0.000 0.559 0.559  0.04
Pd 0.000 0.000 0.441  0.04
Pd 0.000 0.441 0.000  0.04
Fe 0.500 0.000 0.768  1.56
Fe 0.500 0.768 0.000  1.56
Fe 0.500 0.232 0.232  1.56



Record 10
This record from the Alexandria database describes a geometry-optimized Ti2FePd structure. The functional is PBE-GGA.

Output
As for the total energy: -7.8096 eV/atom. Its crystal system is tetragonal. The space group is P4/mmm (123).

a = 2.878 Å, b = 2.878 Å, c = 6.930 Å
α = 90.00°, β = 90.00°, γ = 90.00°
Element x y z (fractional)
Fe 0.500 0.500 0.000
Pd 0.500 0.500 0.500
Ti 0.000 0.000 0.780
Ti 0.000 0.000 0.220



Record 11
This record from the Alexandria database describes a geometry-optimized TiFePd6 structure. The functional is PBE-GGA.

Output
As for the total energy: -6.0243 eV/atom. Its crystal system is monoclinic. The space group is C2/m (12).

a = 4.600 Å, b = 4.600 Å, c = 7.155 Å
α = 73.94°, β = 73.94°, γ = 71.13°
Last column: magnetic moment on the atom in μB.
Element x y z (fractional)
Ti 0.000 0.000 0.000  -0.20
Fe 0.500 0.500 0.500  3.20
Pd 0.062 0.550 0.302  0.14
Pd 0.550 0.062 0.302  0.14
Pd 0.450 0.938 0.698  0.14
Pd 0.938 0.450 0.698  0.14
Pd 0.355 0.355 0.932  0.05
Pd 0.645 0.645 0.068  0.05



Record 12
This record from the Alexandria database describes a geometry-optimized Ti2FePd structure. The functional is PBE-GGA.

Output
As for the total energy: -7.3412 eV/atom. Its crystal system is tetragonal. The space group is I-42d (122).

a = 6.693 Å, b = 6.693 Å, c = 5.462 Å
α = 52.22°, β = 52.22°, γ = 90.00°
Last column: magnetic moment on the atom in μB.
Element x y z (fractional)
Fe 0.500 0.500 0.000  -0.09
Fe 0.250 0.750 0.500  -0.08
Pd 0.000 0.000 0.000  0.04
Pd 0.750 0.250 0.500  0.04
Ti 0.597 0.125 0.250  0.17
Ti 0.153 0.625 0.250  0.17
Ti 0.375 0.403 0.750  0.19
Ti 0.875 0.847 0.750  0.18